Crystalline Ca2Ac3Tl4 at its relaxed geometry. Source: Alexandria via LeMat-Bulk, functional PBE.

Lattice parameters (Å, degrees): 5.717 5.717 10.959 90.05 90.05 59.89
Fractional coordinates of all 9 atoms:
Ca 0.167 0.167 0.217
Ca 0.833 0.833 0.783
Ac 0.166 0.166 0.593
Ac 0.500 0.500 0.000
Ac 0.834 0.834 0.407
Tl 0.167 0.167 0.908
Tl 0.499 0.499 0.657
Tl 0.501 0.501 0.343
Tl 0.833 0.833 0.092

Computed properties:
For the spin magnetization, the calculation gives 0.00 μB/cell. The value obtained for the polymorph energy (0 for the lowest one) is 0.0 meV per atom. The crystal system is monoclinic. The value obtained for the volume is 34.4 A^3/atom.